Entry 1:
This record from OQMD via LeMat-Bulk describes crystalline YBeHgAu at its relaxed geometry. The functional is PBE.

Cell and atoms, written as CIF:
```
data_YBeHgAu
_symmetry_space_group_name_H-M 'F -4 3 m'
_symmetry_Int_Tables_number 216
_symmetry_space_group_name_Hall 'F -4 2 3'
_cell_length_a 6.810
_cell_length_b 6.810
_cell_length_c 6.810
_cell_angle_alpha 90.00
_cell_angle_beta 90.00
_cell_angle_gamma 90.00
loop_
_atom_site_label
_atom_site_type_symbol
_atom_site_fract_x
_atom_site_fract_y
_atom_site_fract_z
_atom_site_occupancy
Y1 Y 0.000 0.000 0.000 1
Be1 Be 0.000 0.000 0.500 1
Hg1 Hg 0.250 0.250 0.750 1
Au1 Au 0.250 0.250 0.250 1
```

Computed properties:
The value obtained for the total DFT energy (no corrections) is -3.6565 eV/atom. The value obtained for the size of the total moment is 0.000 μB/atom.

---

Entry 2:
This record from OQMD via LeMat-Bulk describes crystalline AsPOsO at its relaxed geometry. The functional is PBE.

Cell and atoms, written as CIF:
```
data_AsPOsO
_symmetry_space_group_name_H-M 'P 4/n m m'
_symmetry_Int_Tables_number 129
_cell_length_a 3.959
_cell_length_b 3.959
_cell_length_c 7.732
_cell_angle_alpha 90.00
_cell_angle_beta 90.00
_cell_angle_gamma 90.00
loop_
_symmetry_equiv_pos_as_xyz
'x,y,z'
'-x,-y,-z'
'-y+1/2,x,z'
'y+1/2,-x,-z'
'-x+1/2,-y+1/2,z'
'x+1/2,y+1/2,-z'
'y,-x+1/2,z'
'-y,x+1/2,-z'
'x+1/2,-y,-z'
'-x+1/2,y,z'
'-y,-x,-z'
'y,x,z'
'-x,y+1/2,-z'
'x,-y+1/2,z'
'y+1/2,x+1/2,-z'
'-y+1/2,-x+1/2,z'
loop_
_atom_site_label
_atom_site_type_symbol
_atom_site_fract_x
_atom_site_fract_y
_atom_site_fract_z
_atom_site_occupancy
As1 As 0.250 0.250 0.115 1
P1 P 0.250 0.250 0.659 1
Os1 Os 0.250 0.750 0.500 1
O1 O 0.250 0.750 0.000 1
```

Computed properties:
The value obtained for the total DFT energy (no corrections) is -6.7163 eV/atom. The value obtained for the size of the total moment is 0.000 μB/atom.

---

Entry 3:
This record from OQMD via LeMat-Bulk describes crystalline HfNpAu at its relaxed geometry. The functional is PBE.

Cell and atoms, written as CIF:
```
data_HfNpAu
_symmetry_space_group_name_H-M 'F -4 3 m'
_symmetry_Int_Tables_number 216
_symmetry_space_group_name_Hall 'F -4 2 3'
_cell_length_a 6.632
_cell_length_b 6.632
_cell_length_c 6.632
_cell_angle_alpha 90.00
_cell_angle_beta 90.00
_cell_angle_gamma 90.00
loop_
_atom_site_label
_atom_site_type_symbol
_atom_site_fract_x
_atom_site_fract_y
_atom_site_fract_z
_atom_site_occupancy
Hf1 Hf 0.000 0.000 0.000 1
Np1 Np 0.250 0.250 0.250 1
Au1 Au 0.250 0.250 0.750 1
```

Computed properties:
The value obtained for the total DFT energy (no corrections) is -8.0850 eV/atom. The value obtained for the size of the total moment is 1.494 μB/atom. The calculation puts the formation energy at 168 kJ/mol of formula units.